[1]
Density functional theory data (PBE) for an optimized crystal structure of KCr2Mo.

Cell and atoms, written as POSCAR:
```
KCr2Mo
1.0
4.536 -1.425 0.000
4.536 1.425 0.000
-0.279 0.000 7.039
K Cr Mo
1 2 1
direct
0.000 0.000 0.000
0.242 0.242 0.610
0.758 0.758 0.390
0.500 0.500 0.500
```

Output
Symmetry: No. 12
Energy of formation (meV per atom): 975
Total DFT energy (no corrections) (eV per atom): -6.819
N(E_F) (states/eV/atom): 0.7842

=====

[2]
Density functional theory data (PBE) for an optimized crystal structure of Na2Li2La.

Cell and atoms, written as POSCAR:
```
Na2Li2La
1.0
-2.651 2.651 5.352
2.651 -2.651 5.352
2.651 2.651 -5.352
Na Li La
2 2 1
direct
0.134 0.134 0.000
0.866 0.866 0.000
0.250 0.750 0.500
0.750 0.250 0.500
0.500 0.500 0.000
```

Output
Symmetry: No. 139
Energy of formation (meV per atom): 262
Total DFT energy (no corrections) (eV per atom): -2.016
N(E_F) (states/eV/atom): 0.9105

=====

[3]
Density functional theory data (PBE) for an optimized crystal structure of Tm4CdHg3.

Cell and atoms, written as POSCAR:
```
Tm4CdHg3
1.0
0.000 3.670 7.410
3.657 0.000 7.410
3.657 3.670 0.000
Tm Cd Hg
4 1 3
direct
0.126 0.126 0.374
0.374 0.374 0.126
0.626 0.626 0.874
0.874 0.874 0.626
0.000 0.000 0.000
0.249 0.249 0.751
0.500 0.500 0.500
0.751 0.751 0.249
```

Output
Symmetry: No. 69
Energy of formation (meV per atom): -434
Total DFT energy (no corrections) (eV per atom): -2.898
N(E_F) (states/eV/atom): 0.7131

=====

[4]
Density functional theory data (PBE) for an optimized crystal structure of BaPmN2.

Cell and atoms, written as POSCAR:
```
BaPmN2
1.0
1.883 1.087 6.410
-1.883 1.087 6.410
0.000 -2.174 6.410
Ba Pm N
1 1 2
direct
0.000 0.000 0.000
0.500 0.500 0.500
0.235 0.235 0.235
0.765 0.765 0.765
```

Output
Uncorrected formation energy (meV/atom): -636
Symmetry: No. 166
Total DFT energy (no corrections) (eV per atom): -6.467
N(E_F) (states/eV/atom): 0.9431

=====

[5]
Density functional theory data (PBE) for an optimized crystal structure of La3Pm5Ho4.

Cell and atoms, written as POSCAR:
```
La3Pm5Ho4
1.0
6.307 0.000 0.000
-0.002 7.245 0.000
-0.024 -0.012 8.910
La Pm Ho
3 5 4
direct
0.000 0.000 0.000
0.165 0.747 0.665
0.835 0.253 0.335
0.000 0.500 0.000
0.334 0.001 0.335
0.498 0.253 0.000
0.502 0.747 0.000
0.666 0.999 0.665
0.169 0.252 0.666
0.334 0.501 0.334
0.666 0.499 0.666
0.831 0.748 0.334
```

Output
Symmetry: No. 2
Energy of formation (meV per atom): 22
Total DFT energy (no corrections) (eV per atom): -4.716
N(E_F) (states/eV/atom): 1.4884

=====

[6]
Density functional theory data (PBE) for an optimized crystal structure of LaSm3Cd4.

Cell and atoms, written as POSCAR:
```
LaSm3Cd4
1.0
10.826 0.000 0.000
0.000 7.753 0.000
0.000 0.000 5.414
La Sm Cd
2 6 8
direct
0.000 0.000 0.000
0.500 0.000 0.000
0.000 0.500 0.000
0.250 0.000 0.499
0.250 0.500 0.499
0.500 0.500 0.000
0.750 0.000 0.501
0.750 0.500 0.501
0.000 0.257 0.500
0.000 0.743 0.500
0.250 0.257 0.998
0.250 0.743 0.998
0.500 0.257 0.500
0.500 0.743 0.500
0.750 0.257 0.002
0.750 0.743 0.002
```

Output
Symmetry: No. 51
Energy of formation (meV per atom): -317
Total DFT energy (no corrections) (eV per atom): -3.160
N(E_F) (states/eV/atom): 1.1450

=====

total DFT energy (no corrections) of number 5 (La3Pm5Ho4)?
-4.716 eV per atom

=====

What is the total DFT energy (no corrections) in the fifth record?
-4.716 eV per atom

=====

total DFT energy (no corrections) of number 2 (Na2Li2La)?
-2.016 eV per atom

=====

total DFT energy (no corrections) of number 1 (KCr2Mo)?
-6.819 eV per atom